CrTe2Se, relaxed, DFT PBE-GGA; raw formation energy = 0.097 eV per atom; electronic total energy = -0.349 Ry/atom; density of states at the Fermi level = 0.853 states/eV/atom
1.0
-1.042 -4.610 1.972
4.990 0.293 -1.122
2.748 -0.696 4.266
Te Cr Se
2 1 1
Direct
0.000 0.500 0.500 Te
0.000 0.000 0.000 Te
0.500 0.500 0.000 Cr
0.500 0.000 0.500 Se